Density functional theory data (PBE with a Hubbard U) for crystalline TmMoBrO4 at its relaxed geometry.

Unit cell a=7.010 b=7.267 c=10.849 alpha=102.52 beta=107.98 gamma=95.69
Sites, in units of the cell vectors:
1 O 0.593 0.012 0.192
2 Tm 0.623 0.334 0.233
3 O 0.655 0.772 0.705
4 Mo 0.725 0.819 0.135
5 Br 0.805 0.275 0.011
6 O 0.039 0.652 0.674
7 O 0.727 0.383 0.695
8 O 0.672 0.498 0.448
9 Mo 0.228 0.421 0.372
10 O 0.658 0.624 0.199
11 Br 0.733 0.981 0.479
12 O 0.961 0.348 0.326
13 Mo 0.772 0.579 0.628
14 O 0.273 0.617 0.305
15 Br 0.267 0.019 0.521
16 O 0.407 0.988 0.808
17 O 0.006 0.104 0.797
18 O 0.328 0.502 0.552
19 O 0.345 0.228 0.295
20 O 0.650 0.740 0.957
21 Tm 0.377 0.666 0.767
22 O 0.342 0.376 0.801
23 Br 0.195 0.725 0.989
24 O 0.350 0.260 0.043
25 Mo 0.275 0.181 0.865
26 Tm 0.669 0.090 0.729
27 Tm 0.331 0.910 0.271
28 O 0.994 0.896 0.203

## Properties
The value obtained for the distance to the lowest polymorph of the same formula is 0.000 eV per formula unit. As for the total moment: 0.00 μB per atom.